Density functional theory data (PBE-GGA) for crystalline CdBIr2 at its relaxed geometry.

Unit cell a=2.905 b=2.814 c=7.346 alpha=101.04 beta=101.40 gamma=90.00
Positions (direct):
1 Cd 0.192 0.692 0.383
2 B 0.452 0.452 0.904
3 Ir 0.015 0.015 0.031
4 Ir 0.841 0.341 0.682

Values from the calculation:
- DFT total energy: -0.469 Ry per atom
- Formation energy from the elements: -5.62 kJ per mole of atoms
- Distance to the lowest polymorph of the same formula: 0.0 kJ per mole of atoms